1.
Here is K2LiSnS4 after structural relaxation from Alexandria. Energies are from PBE-GGA.

Lattice parameters (Å, degrees): 6.8914 6.4679 6.4679 73.51 57.81 57.81
Closest atoms and distances in Å follow each position.
Sites, in units of the cell vectors:
K1 0.0000 0.5000 0.5000  8 S 3.31-3.42, 2 K 3.45
K2 0.5000 0.5000 0.5000  8 S 3.31-3.42, 2 K 3.45
Li1 0.0000 0.0000 0.0000  4 S 2.57
Sn1 0.5000 0.0000 0.0000  4 S 2.42
S1 0.1010 0.3295 0.0000  1 Sn 2.42, 1 Li 2.57
S2 0.8990 0.0000 0.6705  1 Sn 2.42, 1 Li 2.57
S3 0.5695 0.0000 0.3295  1 Sn 2.42, 1 Li 2.57
S4 0.4305 0.6705 0.0000  1 Sn 2.42, 1 Li 2.57

E_form (uncorrected): -0.793 eV/atom
Crystal system: tetragonal

2.
Here is Fe2Tc after structural relaxation from Alexandria. Energies are from PBE-GGA.

Lattice parameters (Å, degrees): 4.5674 4.5674 7.2077 90.00 90.00 90.00
Closest atoms and distances in Å follow each position.
Sites, in units of the cell vectors:
Fe1 0.6711 0.8516 0.3642  5 Fe 2.28-2.47, 2 Tc 2.41-2.45
Fe2 0.3289 0.1484 0.8642  5 Fe 2.28-2.47, 2 Tc 2.41-2.45
Fe3 0.8516 0.6711 0.6358  5 Fe 2.28-2.47, 2 Tc 2.41-2.45
Fe4 0.3516 0.8289 0.1142  5 Fe 2.28-2.47, 2 Tc 2.41-2.45
Fe5 0.1484 0.3289 0.1358  5 Fe 2.28-2.47, 2 Tc 2.41-2.45
Fe6 0.1711 0.6484 0.3858  5 Fe 2.28-2.47, 2 Tc 2.41-2.45
Fe7 0.8289 0.3516 0.8858  5 Fe 2.28-2.47, 2 Tc 2.41-2.45
Fe8 0.6484 0.1711 0.6142  5 Fe 2.28-2.47, 2 Tc 2.41-2.45
Tc1 0.1532 0.1532 0.5000  4 Fe 2.41-2.45
Tc2 0.3468 0.6532 0.7500  4 Fe 2.41-2.45
Tc3 0.6532 0.3468 0.2500  4 Fe 2.41-2.45
Tc4 0.8468 0.8468 0.0000  4 Fe 2.41-2.45

Energy relative to the elements: 0.41 eV per atom
Crystal system: tetragonal

3.
Here is LiCePrTe3 after structural relaxation from Alexandria. Energies are from PBE-GGA.

Lattice parameters (Å, degrees): 4.3414 9.2261 9.6870 102.96 90.00 90.00
Closest atoms and distances in Å follow each position.
Sites, in units of the cell vectors:
Li1 0.2500 0.0842 0.5840  4 Te 2.76-2.78, 2 Li 2.94
Li2 0.7500 0.9158 0.4160  4 Te 2.76-2.78, 2 Li 2.94
Ce1 0.2500 0.6657 0.1612  6 Te 3.15-3.25
Ce2 0.7500 0.3343 0.8388  6 Te 3.15-3.25
Pr1 0.7500 0.8174 0.7709  7 Te 3.22-3.37
Pr2 0.2500 0.1826 0.2291  7 Te 3.22-3.37
Te1 0.2500 0.7761 0.5042  3 Li 2.76-2.77
Te2 0.7500 0.9110 0.1282  1 Li 2.78
Te3 0.7500 0.4230 0.1784  3 Ce 3.15-3.21, 2 Pr 3.22
Te4 0.7500 0.2239 0.4958  3 Li 2.76-2.77
Te5 0.2500 0.5770 0.8216  3 Ce 3.15-3.21, 2 Pr 3.22
Te6 0.2500 0.0890 0.8718  1 Li 2.78

E_form (uncorrected): -1.280 eV/atom
Crystal system: monoclinic

4.
Here is ZnAg2Sb after structural relaxation from Alexandria. Energies are from PBE-GGA.

Lattice parameters (Å, degrees): 5.2198 5.2198 3.1599 90.00 90.00 111.79
Closest atoms and distances in Å follow each position.
Sites, in units of the cell vectors:
Ag1 0.0000 0.0000 0.0000  4 Ag 2.93-3.16, 4 Sb 3.05, 4 Zn 3.05
Ag2 0.5000 0.5000 0.0000  4 Ag 2.93-3.16, 4 Zn 3.05, 4 Sb 3.05
Sb1 0.5000 0.0000 0.5000  2 Zn 2.93, 8 Ag 3.05, 2 Sb 3.16
Zn1 0.0000 0.5000 0.5000  2 Sb 2.93, 8 Ag 3.05, 2 Zn 3.16

E_form (uncorrected): 0.149 eV/atom
Crystal system: orthorhombic

5.
Here is Tm3BeGa3 after structural relaxation from Alexandria. Energies are from PBE-GGA.

Lattice parameters (Å, degrees): 4.2367 5.6256 13.1683 85.10 80.74 67.88
Closest atoms and distances in Å follow each position.
Sites, in units of the cell vectors:
Tm1 0.5411 0.3032 0.6145  7 Ga 2.93-3.21, 4 Be 2.99-3.10
Tm2 0.4589 0.6968 0.3855  7 Ga 2.93-3.21, 4 Be 2.99-3.10
Tm3 0.2511 0.2712 0.2266  6 Ga 2.96-3.05, 2 Be 3.15
Tm4 0.7489 0.7288 0.7734  6 Ga 2.96-3.05, 2 Be 3.15
Tm5 0.4004 0.2802 0.9190  7 Ga 2.94-3.10
Tm6 0.5996 0.7198 0.0810  7 Ga 2.94-3.10
Be1 0.7520 0.1018 0.3942  4 Ga 2.42-2.69
Be2 0.2480 0.8982 0.6058  4 Ga 2.42-2.69
Ga1 0.8589 0.7378 0.5444  3 Be 2.42-2.69
Ga2 0.1411 0.2622 0.4556  3 Be 2.42-2.69
Ga3 0.1156 0.8445 0.9244  2 Ga 2.58-2.63
Ga4 0.8844 0.1555 0.0756  2 Ga 2.58-2.63
Ga5 0.9548 0.8502 0.2402  1 Be 2.42, 1 Ga 2.63
Ga6 0.0452 0.1498 0.7598  1 Be 2.42, 1 Ga 2.63

Energy relative to the elements: -0.52 eV per atom
Crystal system: monoclinic

6.
Here is Cs3RbAs after structural relaxation from Alexandria. Energies are from PBE-GGA.

Lattice parameters (Å, degrees): 5.4742 5.4742 13.3234 90.00 90.00 90.00
Closest atoms and distances in Å follow each position.
Sites, in units of the cell vectors:
Cs1 0.0000 0.0000 0.1410  1 Cs 3.76
Cs2 0.5000 0.5000 0.5000  4 Rb 3.87
Cs3 0.0000 0.0000 0.8590  1 Cs 3.76
Rb1 0.0000 0.0000 0.5000  4 Cs 3.87
As1 0.5000 0.5000 0.0000  8 Cs 4.30

Energy relative to the elements: 0.28 eV per atom
Crystal system: tetragonal

7.
Here is RbMnNi after structural relaxation from Alexandria. Energies are from PBE-GGA.

Lattice parameters (Å, degrees): 15.1270 6.0117 2.9098 85.66 91.71 90.58
Closest atoms and distances in Å follow each position.
Sites, in units of the cell vectors:
Ni1 0.4150 0.2488 0.9891  4 Mn 2.38-2.53
Ni2 0.0850 0.7512 0.5109  4 Mn 2.38-2.53
Ni3 0.5850 0.7512 0.0109  4 Mn 2.38-2.53
Ni4 0.9150 0.2488 0.4891  4 Mn 2.38-2.53
Mn1 0.0000 0.0000 0.0000  4 Ni 2.38-2.53
Mn2 0.5000 0.5000 0.5000  4 Ni 2.39-2.52
Mn3 0.5000 0.0000 0.5000  4 Ni 2.38-2.53
Mn4 0.0000 0.5000 0.0000  4 Ni 2.39-2.52
Rb1 0.6899 0.2505 0.9986  2 Rb 2.91
Rb2 0.8101 0.7495 0.5014  2 Rb 2.91
Rb3 0.3101 0.7495 0.0014  2 Rb 2.91
Rb4 0.1899 0.2505 0.4986  2 Rb 2.91

Energy relative to the elements: 0.65 eV per atom
Crystal system: triclinic

8.
Here is TbMnNb2N4 after structural relaxation from Alexandria. Energies are from PBE-GGA.

Lattice parameters (Å, degrees): 3.0945 5.6564 10.8571 90.00 90.00 105.87
Closest atoms and distances in Å follow each position.
Sites, in units of the cell vectors:
Tb1 0.1105 0.2210 0.7500  6 N 2.32-2.47
Tb2 0.8895 0.7790 0.2500  6 N 2.32-2.47
Mn1 0.8450 0.6900 0.7500  4 N 1.93-1.94
Mn2 0.1550 0.3100 0.2500  4 N 1.93-1.94
Nb1 0.3690 0.7379 0.5568  6 N 2.15-2.28
Nb2 0.6310 0.2621 0.0568  6 N 2.15-2.28
Nb3 0.6310 0.2621 0.4432  6 N 2.15-2.28
Nb4 0.3690 0.7379 0.9432  6 N 2.15-2.28
N1 0.2730 0.5460 0.1159  1 Mn 1.94, 1 Nb 2.15
N2 0.7270 0.4540 0.6159  1 Mn 1.94, 1 Nb 2.15
N3 0.7270 0.4540 0.8841  1 Mn 1.94, 1 Nb 2.15
N4 0.2730 0.5460 0.3841  1 Mn 1.94, 1 Nb 2.15
N5 0.0000 0.0000 0.5000  4 Nb 2.19
N6 0.0000 0.0000 0.0000  4 Nb 2.19
N7 0.4517 0.9034 0.7500  2 Mn 1.93
N8 0.5483 0.0966 0.2500  2 Mn 1.93

E_form (uncorrected): -1.008 eV/atom
Crystal system: orthorhombic

9.
Here is YCr2Hg after structural relaxation from Alexandria. Energies are from PBE-GGA.

Lattice parameters (Å, degrees): 5.1854 5.1854 5.2987 68.33 68.33 38.15
Closest atoms and distances in Å follow each position.
Sites, in units of the cell vectors:
Cr1 0.0075 0.0075 0.8766  2 Cr 2.20
Cr2 0.4925 0.4925 0.6234  2 Cr 2.20
Hg1 0.7500 0.7500 0.7500  6 Cr 2.78-2.85
Y1 0.2500 0.2500 0.2500  6 Cr 3.04-3.24, 4 Hg 3.14, 2 Y 3.39

Energy relative to the elements: 0.50 eV per atom
Crystal system: monoclinic

10.
Here is LiH2Pb after structural relaxation from Alexandria. Energies are from PBE-GGA.

Lattice parameters (Å, degrees): 3.2124 6.2650 6.6097 110.41 101.67 94.89
Closest atoms and distances in Å follow each position.
Sites, in units of the cell vectors:
Li1 0.5606 0.5850 0.1343  3 H 1.86-1.94
Li2 0.9502 0.2131 0.0354  3 H 1.86-1.94
H1 0.7115 0.8790 0.0211  1 H 0.77
H2 0.9829 0.4961 0.9769  3 Li 1.86-1.94
H3 0.8100 0.9210 0.1482  1 H 0.77
H4 0.5283 0.3021 0.1926  3 Li 1.86-1.94
Pb1 0.7553 0.3993 0.5848  2 H 2.38
Pb2 0.2552 0.8993 0.5846  2 H 3.00-3.01, 4 Li 3.19-3.34, 2 Pb 3.21

Crystal system: triclinic

11.
Here is La2Ho5Tm3 after structural relaxation from Alexandria. Energies are from PBE-GGA.

Lattice parameters (Å, degrees): 10.9100 9.7483 11.3153 130.35 132.51 63.29
Closest atoms and distances in Å follow each position.
Sites, in units of the cell vectors:
La1 0.8008 0.9918 0.7494  3 Tm 3.28-3.51, 3 Ho 3.47-3.62
La2 0.1992 0.0082 0.2506  3 Tm 3.28-3.51, 3 Ho 3.47-3.62
La3 0.4487 0.7576 0.7494  3 Tm 3.28-3.51, 3 Ho 3.47-3.62
La4 0.5513 0.2424 0.2506  3 Tm 3.28-3.51, 3 Ho 3.47-3.62
Ho1 0.2465 0.4965 0.9931  4 Ho 3.13-3.50, 2 Tm 3.40
Ho2 0.7535 0.5035 0.0069  4 Ho 3.13-3.50, 2 Tm 3.40
Ho3 0.9949 0.7449 0.4898  5 Tm 3.30-3.53, 3 Ho 3.44-3.48, 2 La 3.69
Ho4 0.5333 0.2833 0.5667  3 Ho 3.13-3.45, 2 Tm 3.44, 2 La 3.47
Ho5 0.0051 0.2551 0.5102  5 Tm 3.30-3.53, 3 Ho 3.44-3.48, 2 La 3.69
Ho6 0.4667 0.7167 0.4333  3 Ho 3.13-3.45, 2 Tm 3.44, 2 La 3.47
Ho7 0.8199 0.5929 0.7497  3 Tm 3.28-3.63, 3 Ho 3.45-3.50, 1 La 3.62
Ho8 0.1801 0.4071 0.2503  3 Tm 3.28-3.63, 3 Ho 3.45-3.50, 1 La 3.62
Ho9 0.4298 0.1568 0.7497  3 Tm 3.28-3.63, 3 Ho 3.45-3.50, 1 La 3.62
Ho10 0.5702 0.8432 0.2503  3 Tm 3.28-3.63, 3 Ho 3.45-3.50, 1 La 3.62
Tm1 0.2271 0.9771 0.9542  3 Ho 3.30-3.36, 2 Tm 3.33, 4 La 3.38-3.51
Tm2 0.7729 0.0229 0.0458  3 Ho 3.30-3.36, 2 Tm 3.33, 4 La 3.38-3.51
Tm3 0.7011 0.4663 0.2491  1 La 3.28, 7 Ho 3.28-3.67, 1 Tm 3.33
Tm4 0.2989 0.5337 0.7509  1 La 3.28, 7 Ho 3.28-3.67, 1 Tm 3.33
Tm5 0.0480 0.7827 0.2491  1 La 3.28, 7 Ho 3.28-3.67, 1 Tm 3.33
Tm6 0.9520 0.2173 0.7509  1 La 3.28, 7 Ho 3.28-3.67, 1 Tm 3.33

Energy relative to the elements: 0.22 eV per atom
Crystal system: monoclinic

12.
Here is Sr2HgH after structural relaxation from Alexandria. Energies are from PBE-GGA.

Lattice parameters (Å, degrees): 5.4890 6.8138 6.8138 110.89 90.00 90.00
Closest atoms and distances in Å follow each position.
Sites, in units of the cell vectors:
Sr1 0.2500 0.6574 0.8835  2 H 2.58
Sr2 0.7500 0.3426 0.1165  2 H 2.58
Sr3 0.2500 0.1165 0.3426  2 H 2.58
Sr4 0.7500 0.8835 0.6574  2 H 2.58
Hg1 0.2500 0.6259 0.3741  8 Sr 3.40-3.45
Hg2 0.7500 0.3741 0.6259  8 Sr 3.40-3.45
H1 0.5000 0.0000 0.0000  4 Sr 2.58, 2 H 2.74
H2 0.0000 0.0000 0.0000  4 Sr 2.58, 2 H 2.74

Crystal system: orthorhombic

13.
Here is GaS2F after structural relaxation from Alexandria. Energies are from PBE-GGA.

Lattice parameters (Å, degrees): 6.9362 6.9362 6.9362 30.15 30.15 30.15
Closest atoms and distances in Å follow each position.
Sites, in units of the cell vectors:
S1 0.8977 0.8977 0.8977  1 F 2.03
S2 0.1023 0.1023 0.1023  1 F 2.03
Ga1 0.5000 0.5000 0.5000  6 S 2.44
F1 0.0000 0.0000 0.0000  2 S 2.03

E_form (uncorrected): -0.439 eV/atom
Crystal system: trigonal

14.
Here is Ir2RhSe after structural relaxation from Alexandria. Energies are from PBE-GGA.

Lattice parameters (Å, degrees): 5.3583 5.3583 5.3583 149.46 128.43 61.13
Closest atoms and distances in Å follow each position.
Sites, in units of the cell vectors:
Ir1 0.0114 0.0114 0.0000  2 Se 2.59, 4 Rh 2.73, 4 Ir 2.75-2.82
Ir2 0.7550 0.2550 0.5000  4 Se 2.73, 4 Ir 2.75-2.82, 2 Rh 2.85
Rh1 0.4872 0.4872 0.0000  2 Se 2.63, 6 Ir 2.73-2.85, 2 Rh 2.82
Se1 0.2464 0.7464 0.5000  6 Ir 2.59-2.73, 2 Rh 2.63, 2 Se 2.82

E_form (uncorrected): 0.389 eV/atom
Crystal system: orthorhombic

15.
Here is La6PmCd2 after structural relaxation from Alexandria. Energies are from PBE-GGA.

Lattice parameters (Å, degrees): 6.1441 10.1262 10.1262 71.53 82.90 82.90
Closest atoms and distances in Å follow each position.
Sites, in units of the cell vectors:
La1 0.4712 0.6754 0.4398  5 La 3.34-3.65, 4 Cd 3.35-3.61, 1 Pm 3.39
La2 0.0288 0.5602 0.3246  5 La 3.34-3.65, 4 Cd 3.35-3.61, 1 Pm 3.39
La3 0.5288 0.3246 0.5602  5 La 3.34-3.65, 4 Cd 3.35-3.61, 1 Pm 3.39
La4 0.9712 0.4398 0.6754  5 La 3.34-3.65, 4 Cd 3.35-3.61, 1 Pm 3.39
La5 0.6532 0.1134 0.3613  5 La 3.34-3.69, 4 Cd 3.40-3.61
La6 0.8468 0.6387 0.8866  5 La 3.34-3.69, 4 Cd 3.40-3.61
La7 0.3468 0.8866 0.6387  5 La 3.34-3.69, 4 Cd 3.40-3.61
La8 0.1532 0.3613 0.1134  5 La 3.34-3.69, 4 Cd 3.40-3.61
La9 0.3052 0.7678 0.0008  2 Cd 3.43-3.70, 5 La 3.46-3.76, 3 Pm 3.57-3.66
La10 0.1948 0.9992 0.2322  2 Cd 3.43-3.70, 5 La 3.46-3.76, 3 Pm 3.57-3.66
La11 0.6948 0.2322 0.9992  2 Cd 3.43-3.70, 5 La 3.46-3.76, 3 Pm 3.57-3.66
La12 0.8052 0.0008 0.7678  2 Cd 3.43-3.70, 5 La 3.46-3.76, 3 Pm 3.57-3.66
Pm1 0.2500 0.1411 0.8589  8 La 3.39-3.66
Pm2 0.7500 0.8589 0.1411  8 La 3.39-3.66
Cd1 0.4069 0.5208 0.7935  10 La 3.35-3.70
Cd2 0.0931 0.2065 0.4792  10 La 3.35-3.70
Cd3 0.5931 0.4792 0.2065  10 La 3.35-3.70
Cd4 0.9069 0.7935 0.5208  10 La 3.35-3.70

Energy relative to the elements: -0.09 eV per atom
Crystal system: monoclinic

Total DFT energy (no corrections) / eV/cell: -30.96; -104.30; -59.46; -10.50; -59.77; -6.78; -55.90; -150.62; -24.01; -25.01; -87.96; -16.86; -14.91; -27.00; -73.89